Cu2H3Pd5: relaxed, PBE.

Results
E_tot (eV/atom): -4.452
N(E_F) (states/eV/cell): 16.704
Magnetization (μB/atom): 0.00

abc: 6.6438 12.2057 5.4871
angles: 90.00 90.00 90.00
With the nearest neighbours (Å) after each atom.
Space group Ibam (No. 72)
Symmetry-distinct sites (fractional):
Cu 0.2256 0.1289 0.0000 (multiplicity 8)  1 H 2.14
H 0.0000 0.0000 0.2500 (multiplicity 4)  4 Pd 1.99
H 0.0474 0.3761 0.0000 (multiplicity 8)  5 Pd 1.91-2.07, 1 Cu 2.14
Pd 0.0000 0.2698 0.2500 (multiplicity 8)  2 H 1.91
Pd 0.0000 0.5000 0.2500 (multiplicity 4)  4 H 2.07
Pd 0.1532 0.0829 0.5000 (multiplicity 8)  3 H 1.99-2.05